VASP calculation (GGA-PBE) on an optimized crystal structure of La5Er4Sn4.

Mass density ... 7.35 Mg/m³
Crystal system ... tetragonal
Uncorrected energy ... -5.0870 eV/atom
Volume ... 31.96 Å³ per atom

abc: 13.3263 13.3263 4.6787
angles: 90.00 90.00 90.00
Space group I4/m (No. 87)
Asymmetric unit:
1 La 0.0000 0.0000 0.0000 [2 per cell]
2 La 0.1214 0.7949 0.5000 [8 per cell]
3 Er 0.0914 0.4048 0.5000 [8 per cell]
4 Sn 0.0742 0.2405 0.0000 [8 per cell]